Li2MnP2O7: relaxed, GGA+U.

abc: 11.332 9.963 10.000
angles: 90.00 102.45 90.00
Fractional coordinates of all 96 atoms:
1 Li 0.029 0.108 0.084
2 Li 0.029 0.392 0.584
3 Li 0.045 0.093 0.653
4 Li 0.045 0.407 0.153
5 Li 0.445 0.586 0.821
6 Li 0.445 0.914 0.321
7 Li 0.448 0.718 0.109
8 Li 0.448 0.782 0.609
9 Li 0.552 0.218 0.391
10 Li 0.552 0.282 0.891
11 Li 0.555 0.086 0.679
12 Li 0.555 0.414 0.179
13 Li 0.955 0.593 0.847
14 Li 0.955 0.907 0.347
15 Li 0.971 0.608 0.416
16 Li 0.971 0.892 0.916
17 Mn 0.177 0.713 0.245
18 Mn 0.177 0.787 0.745
19 Mn 0.326 0.081 0.797
20 Mn 0.326 0.419 0.297
21 Mn 0.674 0.581 0.703
22 Mn 0.674 0.919 0.203
23 Mn 0.823 0.213 0.255
24 Mn 0.823 0.287 0.755
25 P 0.109 0.203 0.379
26 P 0.109 0.297 0.879
27 P 0.236 0.548 0.972
28 P 0.236 0.952 0.472
29 P 0.244 0.567 0.558
30 P 0.244 0.933 0.058
31 P 0.429 0.147 0.124
32 P 0.429 0.353 0.624
33 P 0.571 0.647 0.376
34 P 0.571 0.853 0.876
35 P 0.756 0.067 0.942
36 P 0.756 0.433 0.442
37 P 0.764 0.048 0.528
38 P 0.764 0.452 0.028
39 P 0.891 0.703 0.121
40 P 0.891 0.797 0.621
41 O 0.004 0.133 0.276
42 O 0.004 0.367 0.776
43 O 0.076 0.224 0.516
44 O 0.076 0.276 0.016
45 O 0.112 0.564 0.562
46 O 0.112 0.936 0.062
47 O 0.139 0.636 0.883
48 O 0.139 0.864 0.383
49 O 0.155 0.174 0.815
50 O 0.155 0.326 0.315
51 O 0.212 0.534 0.119
52 O 0.212 0.966 0.619
53 O 0.224 0.100 0.404
54 O 0.224 0.400 0.904
55 O 0.269 0.587 0.414
56 O 0.269 0.913 0.914
57 O 0.296 0.079 0.112
58 O 0.296 0.421 0.612
59 O 0.313 0.671 0.662
60 O 0.313 0.829 0.162
61 O 0.365 0.590 0.972
62 O 0.365 0.910 0.472
63 O 0.422 0.215 0.691
64 O 0.422 0.285 0.191
65 O 0.450 0.159 0.979
66 O 0.450 0.341 0.479
67 O 0.483 0.559 0.275
68 O 0.483 0.941 0.775
69 O 0.517 0.059 0.225
70 O 0.517 0.441 0.725
71 O 0.550 0.659 0.521
72 O 0.550 0.841 0.021
73 O 0.578 0.715 0.809
74 O 0.578 0.785 0.309
75 O 0.635 0.090 0.528
76 O 0.635 0.410 0.028
77 O 0.687 0.171 0.838
78 O 0.687 0.329 0.338
79 O 0.704 0.579 0.388
80 O 0.704 0.921 0.888
81 O 0.731 0.087 0.086
82 O 0.731 0.413 0.586
83 O 0.776 0.600 0.096
84 O 0.776 0.900 0.596
85 O 0.788 0.034 0.381
86 O 0.788 0.466 0.881
87 O 0.845 0.674 0.685
88 O 0.845 0.826 0.185
89 O 0.861 0.136 0.617
90 O 0.861 0.364 0.117
91 O 0.888 0.064 0.938
92 O 0.888 0.436 0.438
93 O 0.924 0.724 0.984
94 O 0.924 0.776 0.484
95 O 0.996 0.633 0.224
96 O 0.996 0.867 0.724

Properties
N(E_F): 0.000 states/eV/f.u.
crystal system: monoclinic
raw total energy: -7.000 eV per atom